(1)
PBE BaZn2Pb2, relaxed; energy of formation from the pure elements = -0.233 eV per atom
1.0
-4.573 -1.743 -1.047
1.586 -1.444 -4.522
-0.011 -6.793 -0.605
Ba Zn Pb
1 2 2
direct
0.000 0.000 0.000
0.750 0.250 0.500
0.250 0.750 0.500
0.633 0.633 0.735
0.367 0.367 0.265

=====

(2)
PBE AlZn2Os, relaxed; energy of formation from the pure elements = 0.072 eV per atom
1.0
-0.254 1.979 2.690
2.444 -1.728 1.502
3.523 3.215 -2.034
Zn Os Al
2 1 1
direct
0.000 0.000 0.992
0.000 0.000 0.508
0.500 0.500 0.750
0.500 0.500 0.250

=====

(3)
PBE LaTlSn3, relaxed; distance to the lowest polymorph of the same formula = 0.66 eV/f.u.; energy of formation from the pure elements = 0.460 eV per atom
1.0
6.056 0.000 0.000
0.000 6.056 0.000
0.000 0.000 6.056
La Sn Tl
1 3 1
direct
0.000 0.000 0.000
0.000 0.500 0.000
0.000 0.000 0.500
0.500 0.000 0.000
0.500 0.500 0.500

=====

(4)
PBE MgSiHg2Au, relaxed; E_form (uncorrected) = 697 meV/atom
1.0
-4.494 1.654 -2.149
-2.445 -1.098 4.267
0.933 4.848 1.782
Hg Si Au Mg
2 1 1 1
direct
0.500 0.000 0.000
0.000 0.000 0.500
0.000 0.500 0.000
0.500 0.500 0.500
0.000 0.000 0.000

=====

(5)
PBE EuTl2Hg, relaxed; energy of formation from the pure elements = -0.292 eV per atom
1.0
-0.414 4.204 -2.565
-2.830 -2.224 -3.189
-3.867 1.201 2.594
Tl Hg Eu
2 1 1
direct
0.000 0.500 0.000
0.000 0.000 0.500
0.500 0.000 0.000
0.500 0.500 0.500

=====

Table of DFT total energy (eV per atom), in record order: -2.611, -4.308, -3.401, -1.482, -4.120
Table of N(E_F) (states/eV per atom), in record order: 0.235, 0.423, 0.822, 0.720, 1.386